1.
# LiDyIn2Pt4 GGA-PBE optimized geometry
# - Crystal system: trigonal
# - Raw total energy: -5.244 eV/atom
data_LiDyIn2Pt4
_cell_length_a 4.599
_cell_length_b 4.599
_cell_length_c 8.328
_cell_angle_alpha 73.97
_cell_angle_beta 73.97
_cell_angle_gamma 60.00
_space_group_name_H-M_alt 'P 1'
_space_group_IT_number 1
loop_
_space_group_symop_operation_xyz
'x,y,z'
loop_
_atom_site_label
_atom_site_type_symbol
_atom_site_fract_x
_atom_site_fract_y
_atom_site_fract_z
_atom_site_occupancy
Li1 Li 0.500 0.500 0.500 1
Dy1 Dy 0.000 0.000 0.000 1
In1 In 0.755 0.755 0.734 1
In2 In 0.245 0.245 0.266 1
Pt1 Pt 0.392 0.392 0.825 1
Pt2 Pt 0.873 0.873 0.380 1
Pt3 Pt 0.127 0.127 0.620 1
Pt4 Pt 0.608 0.608 0.175 1



2.
# Y2Sc5Fe2 GGA-PBE optimized geometry
# - Crystal system: orthorhombic
# - Raw total energy: -6.849 eV/atom
data_Y2Sc5Fe2
_cell_length_a 6.668
_cell_length_b 6.612
_cell_length_c 9.953
_cell_angle_alpha 90.00
_cell_angle_beta 70.43
_cell_angle_gamma 90.00
_space_group_name_H-M_alt 'P 1'
_space_group_IT_number 1
loop_
_space_group_symop_operation_xyz
'x,y,z'
loop_
_atom_site_label
_atom_site_type_symbol
_atom_site_fract_x
_atom_site_fract_y
_atom_site_fract_z
_atom_site_occupancy
Y1 Y 0.230 0.000 0.540 1
Y2 Y 0.730 0.500 0.540 1
Y3 Y 0.770 0.000 0.460 1
Y4 Y 0.270 0.500 0.460 1
Sc1 Sc 0.000 0.000 0.000 1
Sc2 Sc 0.500 0.500 0.000 1
Sc3 Sc 0.420 0.180 0.796 1
Sc4 Sc 0.785 0.820 0.796 1
Sc5 Sc 0.285 0.680 0.796 1
Sc6 Sc 0.920 0.320 0.796 1
Sc7 Sc 0.580 0.820 0.204 1
Sc8 Sc 0.215 0.180 0.204 1
Sc9 Sc 0.715 0.320 0.204 1
Sc10 Sc 0.080 0.680 0.204 1
Fe1 Fe 0.116 0.389 0.000 1
Fe2 Fe 0.884 0.611 0.000 1
Fe3 Fe 0.384 0.889 0.000 1
Fe4 Fe 0.616 0.111 0.000 1



3.
# TlZnBi2 GGA-PBE optimized geometry
# - Crystal system: tetragonal
# - Raw total energy: -2.653 eV/atom
data_TlZnBi2
_cell_length_a 6.400
_cell_length_b 6.400
_cell_length_c 8.436
_cell_angle_alpha 67.71
_cell_angle_beta 67.71
_cell_angle_gamma 90.00
_space_group_name_H-M_alt 'P 1'
_space_group_IT_number 1
loop_
_space_group_symop_operation_xyz
'x,y,z'
loop_
_atom_site_label
_atom_site_type_symbol
_atom_site_fract_x
_atom_site_fract_y
_atom_site_fract_z
_atom_site_occupancy
Zn1 Zn 0.500 0.500 0.000 1
Zn2 Zn 0.250 0.750 0.500 1
Tl1 Tl 0.000 0.000 0.000 1
Tl2 Tl 0.750 0.250 0.500 1
Bi1 Bi 0.585 0.125 0.250 1
Bi2 Bi 0.165 0.625 0.250 1
Bi3 Bi 0.375 0.415 0.750 1
Bi4 Bi 0.875 0.835 0.750 1



4.
# YPd2Pb2 GGA-PBE optimized geometry
# - Crystal system: tetragonal
# - Raw total energy: -5.133 eV/atom
data_YPd2Pb2
_cell_length_a 8.247
_cell_length_b 8.247
_cell_length_c 3.352
_cell_angle_alpha 90.00
_cell_angle_beta 90.00
_cell_angle_gamma 90.00
_space_group_name_H-M_alt 'P 1'
_space_group_IT_number 1
loop_
_space_group_symop_operation_xyz
'x,y,z'
loop_
_atom_site_label
_atom_site_type_symbol
_atom_site_fract_x
_atom_site_fract_y
_atom_site_fract_z
_atom_site_occupancy
Pb1 Pb 0.358 0.858 0.000 1
Pb2 Pb 0.858 0.642 0.000 1
Pb3 Pb 0.642 0.142 0.000 1
Pb4 Pb 0.142 0.358 0.000 1
Y1 Y 0.000 0.000 0.000 1
Y2 Y 0.500 0.500 0.000 1
Pd1 Pd 0.155 0.655 0.500 1
Pd2 Pd 0.655 0.845 0.500 1
Pd3 Pd 0.845 0.345 0.500 1
Pd4 Pd 0.345 0.155 0.500 1



5.
# TlAuC3 GGA-PBE optimized geometry
# - Crystal system: cubic
# - Raw total energy: -3.045 eV/atom
data_TlAuC3
_cell_length_a 4.417
_cell_length_b 4.417
_cell_length_c 4.417
_cell_angle_alpha 90.00
_cell_angle_beta 90.00
_cell_angle_gamma 90.00
_space_group_name_H-M_alt 'P 1'
_space_group_IT_number 1
loop_
_space_group_symop_operation_xyz
'x,y,z'
loop_
_atom_site_label
_atom_site_type_symbol
_atom_site_fract_x
_atom_site_fract_y
_atom_site_fract_z
_atom_site_occupancy
Tl1 Tl 0.000 0.000 0.000 1
Au1 Au 0.500 0.500 0.500 1
C1 C 0.000 0.500 0.000 1
C2 C 0.000 0.000 0.500 1
C3 C 0.500 0.000 0.000 1



6.
# Sm5Er2Hg4 GGA-PBE optimized geometry
# - Crystal system: monoclinic
# - Raw total energy: -3.201 eV/atom
data_Sm5Er2Hg4
_cell_length_a 3.534
_cell_length_b 7.639
_cell_length_c 12.566
_cell_angle_alpha 87.30
_cell_angle_beta 98.08
_cell_angle_gamma 90.00
_space_group_name_H-M_alt 'P 1'
_space_group_IT_number 1
loop_
_space_group_symop_operation_xyz
'x,y,z'
loop_
_atom_site_label
_atom_site_type_symbol
_atom_site_fract_x
_atom_site_fract_y
_atom_site_fract_z
_atom_site_occupancy
Sm1 Sm 0.140 0.868 0.280 1
Sm2 Sm 0.860 0.132 0.720 1
Sm3 Sm 0.233 0.212 0.467 1
Sm4 Sm 0.500 0.000 0.000 1
Sm5 Sm 0.767 0.788 0.533 1
Er1 Er 0.907 0.695 0.815 1
Er2 Er 0.093 0.305 0.185 1
Hg1 Hg 0.668 0.524 0.335 1
Hg2 Hg 0.032 0.664 0.064 1
Hg3 Hg 0.332 0.476 0.665 1
Hg4 Hg 0.968 0.336 0.936 1